Tl5Sb2Pt after structural relaxation. Source: OQMD, functional PBE.

Calculated values
As for the space group: R-3m (166). Its total energy is -26.41 eV for the cell shown.

Cell lengths 9.4320, 9.4320, 9.4320 Å; angles 33.65, 33.65, 33.65 degrees
Closest atoms and distances in Å follow each position.
Atoms (fractional coordinates):
Pt: 0.0000 0.0000 0.0000  2 Sb 2.62
Sb: 0.0983 0.0983 0.0983  1 Pt 2.62
Sb: 0.9017 0.9017 0.9017  1 Pt 2.62
Tl: 0.2266 0.2266 0.2266  4 Sb 3.16-3.42, 3 Tl 3.53
Tl: 0.3604 0.3604 0.3604  3 Pt 3.23, 4 Tl 3.47-3.57
Tl: 0.5000 0.5000 0.5000  8 Tl 3.53-3.72, 6 Sb 3.64
Tl: 0.6396 0.6396 0.6396  3 Pt 3.23, 4 Tl 3.47-3.57
Tl: 0.7734 0.7734 0.7734  4 Sb 3.16-3.42, 3 Tl 3.53